No. 1
{"formula": "Pr2CrGaO6", "functional": "PBE with a Hubbard U", "state": "optimized geometry", "lattice": [[-1.998, 0.915, 5.056], [-4.220, -3.553, -1.025], [4.315, -5.926, 2.777]], "species": ["Pr", "Pr", "Pr", "Pr", "Cr", "Cr", "Ga", "Ga", "O", "O", "O", "O", "O", "O", "O", "O", "O", "O", "O", "O"], "frac_coords": [[0.011, 0.954, 0.250], [0.511, 0.546, 0.750], [0.989, 0.046, 0.750], [0.489, 0.454, 0.250], [0.500, 0.000, 0.000], [0.000, 0.500, 0.500], [0.500, 0.000, 0.500], [0.000, 0.500, 0.000], [0.288, 0.710, 0.045], [0.788, 0.790, 0.545], [0.712, 0.290, 0.955], [0.212, 0.210, 0.455], [0.290, 0.712, 0.455], [0.790, 0.788, 0.955], [0.710, 0.288, 0.545], [0.210, 0.212, 0.045], [0.916, 0.520, 0.249], [0.416, 0.980, 0.749], [0.084, 0.480, 0.751], [0.584, 0.020, 0.251]], "rho_g_cm3": 6.8, "volume_a3_per_cell": 242.52, "total_energy_ev_per_atom": -7.653, "space_group": "No. 14"}

***

No. 2
{"formula": "PrCr2GaO6", "functional": "PBE with a Hubbard U", "state": "optimized geometry", "lattice": [[5.347, 0.000, 0.000], [2.674, 4.631, 0.000], [2.674, 1.544, 4.618]], "species": ["Pr", "Cr", "Cr", "Ga", "O", "O", "O", "O", "O", "O"], "frac_coords": [[0.780, 0.780, 0.660], [0.520, 0.520, 0.441], [0.012, 0.012, 0.964], [0.313, 0.313, 0.062], [0.619, 0.254, 0.219], [0.254, 0.907, 0.219], [0.907, 0.619, 0.219], [0.343, 0.728, 0.744], [0.728, 0.185, 0.744], [0.185, 0.343, 0.744]], "rho_g_cm3": 6.0, "volume_a3_per_cell": 114.35, "total_energy_ev_per_atom": -7.470, "space_group": "No. 146"}